Record 1
Compound: LiTlRuO3
Source: Alexandria via LeMat-Bulk
Functional: PBE-GGA
Structure: optimized geometry

```
12
Lattice="2.8728 -4.9680 0.0000 2.8728 4.9680 0.0000 0.0000 0.0000 5.5892" Properties=species:S:1:pos:R:3 pbc="T T T"
Li 2.8728 4.1502 4.1919
Li 2.8728 -4.1502 1.3973
Tl 2.8728 2.7478 1.3973
Tl 2.8728 -2.7478 4.1919
Ru 2.8728 0.2353 4.1919
Ru 2.8728 -0.2353 1.3973
O 1.4108 0.0000 0.0000
O 1.4108 0.0000 2.7946
O 2.8728 2.1277 4.1919
O 2.8728 -2.1277 1.3973
O 4.3349 0.0000 0.0000
O 4.3349 0.0000 2.7946
```

Summary:
SG = Cmcm
Formation energy from raw total energies = -22.15 kcal/mol of atoms

=====

Record 2
Compound: Li2TmRuO6
Source: Alexandria via LeMat-Bulk
Functional: PBE-GGA
Structure: optimized geometry

```
20
Lattice="5.2872 0.0000 0.0000 0.0000 5.4514 0.0000 -5.2474 0.0000 7.7381" Properties=species:S:1:pos:R:3 pbc="T T T"
Li -0.0672 0.1507 1.8815
Li -2.6909 2.5750 5.7505
Li 2.7307 2.8764 1.9876
Li 0.1070 5.3007 5.8566
Tm -2.6237 0.0000 3.8690
Tm 0.0000 2.7257 0.0000
Ru 2.6436 0.0000 0.0000
Ru 0.0199 2.7257 3.8690
O -3.2384 0.3522 5.9506
O -0.6146 2.3736 2.0816
O -1.6258 3.5549 4.3075
O 0.9979 4.6223 0.4384
O -0.7216 1.0552 4.4170
O 1.9021 1.6705 0.5479
O -1.8623 3.7809 7.1902
O 0.7614 4.3963 3.3211
O -0.9581 0.8292 7.2996
O 1.6656 1.8966 3.4306
O 0.6544 3.0779 5.6565
O 3.2781 5.0993 1.7874
```

Summary:
SG = P2_1/c
Formation energy from raw total energies = -40.97 kcal/mol of atoms

=====

Record 3
Compound: Li2URuO8
Source: Alexandria via LeMat-Bulk
Functional: PBE-GGA
Structure: optimized geometry

```
12
Lattice="3.2958 -3.4015 0.0000 3.2958 3.4015 0.0000 0.0000 0.0000 6.4096" Properties=species:S:1:pos:R:3 pbc="T T T"
Li 0.0000 0.0000 1.5336
Li 0.0000 0.0000 4.8761
U 3.2958 0.0000 3.2048
Ru 3.2958 0.0000 0.0000
O 1.4124 0.0000 3.2048
O 1.4890 0.0000 0.0000
O 3.2958 1.2812 1.4498
O 3.2958 1.2812 4.9598
O 3.2958 -1.2812 1.4498
O 3.2958 -1.2812 4.9598
O 5.1026 0.0000 0.0000
O 5.1793 0.0000 3.2048
```

Summary:
SG = Cmmm
Formation energy from raw total energies = -39.74 kcal/mol of atoms